This record from Alexandria describes a relaxed structure of ZrZn2Bi2. The functional is PBE.

Lattice parameters (Å, degrees): 7.567 7.567 3.955 90.00 90.00 90.00
Space group P4/mbm (No. 127)
One atom of each set of equivalent atoms:
Zr (0.000, 0.000, 0.000)
Zn (0.122, 0.378, 0.000)
Bi (0.179, 0.679, 0.500)

## Properties
Uncorrected energy, eV/atom: -3.716
DFT formation energy, eV per atom: 0.0559
Density of states at the Fermi level, states/eV/cell: 6.31